1.
A plane-wave DFT calculation with PBE was carried out for crystalline Th2SiH at its relaxed geometry.

Cell and atoms, written as CIF:
```
data_Th2SiH
_chemical_formula_sum 'Th6 Si3 H3'
_space_group_name_H-M_alt 'R -3 m'
_space_group_IT_number 166
_space_group_name_Hall '-R 3 2"'
_cell_length_a 4.0149
_cell_length_b 4.0149
_cell_length_c 23.4548
_cell_angle_alpha 90.00
_cell_angle_beta 90.00
_cell_angle_gamma 120.00
loop_
_atom_site_label
_atom_site_type_symbol
_atom_site_fract_x
_atom_site_fract_y
_atom_site_fract_z
Th1 Th 0.0000 0.0000 0.0925
Si1 Si 0.0000 0.0000 0.5000
H1 H 0.0000 0.0000 0.0000
```

Summary:
* magnetic moment: 0.01 Bohr magnetons per cell
* E: -6.0422 eV/atom
* theoretical density: 7.5 Mg/m³

2.
A plane-wave DFT calculation with PBE was carried out for crystalline HfNbGaN2 at its relaxed geometry.

Cell and atoms, written as CIF:
```
data_HfNbGaN2
_chemical_formula_sum 'Hf1 Nb1 Ga1 N2'
_space_group_name_H-M_alt 'P 4/m m m'
_space_group_IT_number 123
_space_group_name_Hall '-P 4 2'
_cell_length_a 4.005
_cell_length_b 4.005
_cell_length_c 4.858
_cell_angle_alpha 90.00
_cell_angle_beta 90.00
_cell_angle_gamma 90.00
loop_
_atom_site_label
_atom_site_type_symbol
_atom_site_fract_x
_atom_site_fract_y
_atom_site_fract_z
Hf1 Hf 0.000 0.000 0.000
Nb1 Nb 0.500 0.500 0.000
Ga1 Ga 0.500 0.500 0.500
N1 N 0.000 0.500 0.500
```

Summary:
* magnetic moment: 0.00 Bohr magnetons per cell
* formation energy without anion corrections: 7.544 eV/f.u.
* theoretical density: 7.9 Mg/m³

3.
A plane-wave DFT calculation with PBE was carried out for crystalline RbSn3Ru at its relaxed geometry.

Cell and atoms, written as CIF:
```
data_RbSn3Ru
_chemical_formula_sum 'Rb1 Sn3 Ru1'
_space_group_name_H-M_alt 'P m -3 m'
_space_group_IT_number 221
_space_group_name_Hall '-P 4 2 3'
_cell_length_a 5.272
_cell_length_b 5.272
_cell_length_c 5.272
_cell_angle_alpha 90.00
_cell_angle_beta 90.00
_cell_angle_gamma 90.00
loop_
_atom_site_label
_atom_site_type_symbol
_atom_site_fract_x
_atom_site_fract_y
_atom_site_fract_z
Rb1 Rb 0.000 0.000 0.000
Sn1 Sn 0.000 0.500 0.500
Ru1 Ru 0.500 0.500 0.500
```

Summary:
* magnetic moment: 1.07 Bohr magnetons per cell
* energy relative to the lowest polymorph listed for this composition: 0.0000 eV/atom
* formation enthalpy at 0 K: 0.11 eV/atom
* theoretical density: 6.2 Mg/m³

4.
A plane-wave DFT calculation with PBE was carried out for crystalline LiP2Au at its relaxed geometry.

Cell and atoms, written as CIF:
```
data_LiP2Au
_chemical_formula_sum 'Li1 P2 Au1'
_space_group_name_H-M_alt 'P m m 2'
_space_group_IT_number 25
_space_group_name_Hall 'P 2 -2'
_cell_length_a 2.745
_cell_length_b 4.517
_cell_length_c 5.075
_cell_angle_alpha 90.00
_cell_angle_beta 90.00
_cell_angle_gamma 90.00
loop_
_atom_site_label
_atom_site_type_symbol
_atom_site_fract_x
_atom_site_fract_y
_atom_site_fract_z
Li1 Li 0.000 0.000 0.000
P1 P 0.500 0.000 0.520
P2 P 0.500 0.500 0.711
Au1 Au 0.500 0.500 0.197
```

Summary:
* magnetic moment: 0.00 Bohr magnetons per cell
* energy relative to the lowest polymorph listed for this composition: 0.2780 eV/atom
* formation enthalpy at 0 K: -0.07 eV/atom
* theoretical density: 7.0 Mg/m³

5.
A plane-wave DFT calculation with PBE was carried out for crystalline La4Dy3Y2 at its relaxed geometry.

Cell and atoms, written as CIF:
```
data_La4Dy3Y2
_chemical_formula_sum 'La8 Dy6 Y4'
_space_group_name_H-M_alt 'C 1 2/m 1'
_space_group_IT_number 12
_space_group_name_Hall '-C 2y'
_cell_length_a 15.464
_cell_length_b 5.166
_cell_length_c 8.101
_cell_angle_alpha 90.00
_cell_angle_beta 108.37
_cell_angle_gamma 90.00
loop_
_atom_site_label
_atom_site_type_symbol
_atom_site_fract_x
_atom_site_fract_y
_atom_site_fract_z
La1 La 0.054 0.000 0.331
La2 La 0.224 0.500 0.335
Dy1 Dy 0.000 0.500 0.000
Dy2 Dy 0.111 0.500 0.670
Y1 Y 0.167 0.000 0.000
```

Summary:
* magnetic moment: 0.00 Bohr magnetons per cell
* energy relative to the lowest polymorph listed for this composition: 0.0000 eV/atom
* formation enthalpy at 0 K: 0.03 eV/atom
* theoretical density: 6.6 Mg/m³

6.
A plane-wave DFT calculation with PBE was carried out for crystalline CsTmMgS3 at its relaxed geometry.

Cell and atoms, written as CIF:
```
data_CsTmMgS3
_chemical_formula_sum 'Cs2 Tm2 Mg2 S6'
_space_group_name_H-M_alt 'P 1 21/m 1'
_space_group_IT_number 11
_space_group_name_Hall '-P 2yb'
_cell_length_a 9.267
_cell_length_b 4.105
_cell_length_c 10.118
_cell_angle_alpha 90.00
_cell_angle_beta 111.48
_cell_angle_gamma 90.00
loop_
_atom_site_label
_atom_site_type_symbol
_atom_site_fract_x
_atom_site_fract_y
_atom_site_fract_z
Cs1 Cs 0.221 0.250 0.238
Tm1 Tm 0.334 0.750 0.869
Mg1 Mg 0.085 0.250 0.614
S1 S 0.133 0.250 0.863
S2 S 0.192 0.750 0.555
S3 S 0.480 0.750 0.147
```

Summary:
* magnetic moment: 0.00 Bohr magnetons per cell
* formation energy without anion corrections: -10.100 eV/f.u.
* theoretical density: 3.9 Mg/m³